# ZrScAs2

Crystalline ZrScAs2 at its relaxed geometry (PBE-GGA, Alexandria).

## Properties
Density of states at the Fermi level = 5.00 states/eV/cell

Cell lengths 4.7835, 4.7835, 4.7835 Å; angles 60.00, 60.00, 60.00 degrees
Element x y z (fractional)
Zr  0.0000  0.0000  0.0000
Sc  0.5000  0.5000  0.5000
As  0.2500  0.2500  0.2500
As  0.7500  0.7500  0.7500

***

# Zr2ScAs

Crystalline Zr2ScAs at its relaxed geometry (PBE-GGA, Alexandria).

## Properties
Density of states at the Fermi level = 3.56 states/eV/cell

Cell lengths 4.1418, 4.1418, 4.6919 Å; angles 90.00, 90.00, 90.00 degrees
Element x y z (fractional)
Zr  0.0000  0.5000  0.0000
Zr  0.5000  0.0000  0.0000
Sc  0.0000  0.0000  0.5000
As  0.5000  0.5000  0.5000

***

# Zr2ScAs

Crystalline Zr2ScAs at its relaxed geometry (PBE-GGA, Alexandria).

## Properties
Density of states at the Fermi level = 2.84 states/eV/cell

Cell lengths 4.1366, 5.7113, 5.7113 Å; angles 38.47, 90.00, 90.00 degrees
Element x y z (fractional)
Zr  0.0000  0.0000  0.0000
Zr  0.5000  0.3064  0.3064
Sc  0.0000  0.7288  0.7288
As  0.5000  0.5714  0.5714

***

Number 1: formation enthalpy at 0 K -3.27 eV/f.u.. Number 2: formation enthalpy at 0 K -1.83 eV/f.u.. Number 3: formation enthalpy at 0 K -2.05 eV/f.u..